The following is a PBE calculation of crystalline Sc8NiRu2 at its relaxed geometry, from Alexandria via LeMat-Bulk.

Cell and atoms, written as POSCAR:
```
Sc8NiRu2
1.0
3.9294 -5.8932 0.0000
3.9294 5.8932 0.0000
-1.8084 0.0000 5.0562
Sc Ni Ru
8 1 2
direct
0.0000 0.0000 0.0000 Sc
0.0194 0.2780 0.5916 Sc
0.1525 0.5744 0.1886 Sc
0.2780 0.0194 0.5916 Sc
0.4373 0.6947 0.7953 Sc
0.5744 0.1525 0.1886 Sc
0.6947 0.4373 0.7953 Sc
0.7272 0.7272 0.3764 Sc
0.3679 0.3679 0.0463 Ni
0.0444 0.6667 0.6884 Ru
0.6667 0.0444 0.6884 Ru
```

Values from the calculation:
Formation enthalpy at 0 K in eV/atom: -0.257
Electronic total energy in eV per atom: -7.0735
Total magnetization in μB/cell: 0.00
DOS at the Fermi energy in states/eV per cell: 10.4